NdErTePb: relaxed, GGA-PBE.

```
NdErTePb
1.0
-2.331 -3.813 0.204
1.008 -3.387 -2.743
4.256 -5.006 4.098
Nd Er Te Pb
1 1 1 1
Cartesian
2.210 -6.515 1.562
-0.496 -7.659 -1.667
3.043 -9.622 2.057
1.469 -3.460 1.165
```

- Formation energy (no corrections): -0.949 eV per atom